A plane-wave DFT calculation with PBE-GGA was carried out for a geometry-optimized HgBiP structure.

Properties
The value obtained for the total DFT energy (no corrections) is -3.06 eV/atom. The energy relative to the lowest polymorph listed for this composition is 0.00 eV/f.u. Its formation energy is 141 meV/atom.

Unit cell a=4.0983 b=4.0983 c=5.7339 alpha=90.00 beta=90.00 gamma=120.00
Last column: nearest neighbours and their distance in Å.
Space group P3m1 (No. 156)
Inequivalent atoms, fractional coordinates:
Hg (0.0000, 0.0000, 0.0000) (multiplicity 1)  3 P 3.04, 3 Bi 3.38
Bi (0.3333, 0.6667, 0.5796) (multiplicity 1)  3 P 2.76
P (0.6667, 0.3333, 0.3320) (multiplicity 1)  3 Bi 2.76, 3 Hg 3.04

A plane-wave DFT calculation with PBE-GGA was carried out for a geometry-optimized HgBiP3 structure.

Properties
The value obtained for the total DFT energy (no corrections) is -2.73 eV/atom. The energy relative to the lowest polymorph listed for this composition is 0.98 eV/f.u. Its formation energy is 1350 meV/atom.

Unit cell a=5.3324 b=5.3324 c=5.3324 alpha=90.00 beta=90.00 gamma=90.00
Last column: nearest neighbours and their distance in Å.
Space group Pm-3m (No. 221)
Inequivalent atoms, fractional coordinates:
Hg (0.0000, 0.0000, 0.0000) (multiplicity 1)  12 P 3.77
Bi (0.5000, 0.5000, 0.5000) (multiplicity 1)  6 P 2.67
P (0.0000, 0.5000, 0.5000) (multiplicity 3)  2 Bi 2.67

A plane-wave DFT calculation with PBE-GGA was carried out for a geometry-optimized Hg3BiP structure.

Properties
The value obtained for the total DFT energy (no corrections) is -1.66 eV/atom. The energy relative to the lowest polymorph listed for this composition is 0.00 eV/f.u. Its formation energy is 383 meV/atom.

Unit cell a=5.1587 b=5.1587 c=5.1587 alpha=90.00 beta=90.00 gamma=90.00
Last column: nearest neighbours and their distance in Å.
Space group Pm-3m (No. 221)
Inequivalent atoms, fractional coordinates:
Hg (0.0000, 0.0000, 0.5000) (multiplicity 3)  2 P 2.58
Bi (0.5000, 0.5000, 0.5000) (multiplicity 1)  12 Hg 3.65
P (0.0000, 0.0000, 0.0000) (multiplicity 1)  6 Hg 2.58

A plane-wave DFT calculation with PBE-GGA was carried out for a geometry-optimized HgBiP3 structure.

Properties
The value obtained for the total DFT energy (no corrections) is -2.93 eV/atom. The energy relative to the lowest polymorph listed for this composition is 0.00 eV/f.u. Its formation energy is 1153 meV/atom.

Unit cell a=4.9809 b=4.9809 c=4.9809 alpha=90.00 beta=90.00 gamma=90.00
Last column: nearest neighbours and their distance in Å.
Space group Pm-3m (No. 221)
Inequivalent atoms, fractional coordinates:
Hg (0.0000, 0.0000, 0.0000) (multiplicity 1)  6 P 2.49
Bi (0.5000, 0.5000, 0.5000) (multiplicity 1)  12 P 3.52
P (0.0000, 0.0000, 0.5000) (multiplicity 3)  2 Hg 2.49

A plane-wave DFT calculation with PBE-GGA was carried out for a geometry-optimized Hg3BiP structure.

Properties
The value obtained for the total DFT energy (no corrections) is -1.29 eV/atom. The energy relative to the lowest polymorph listed for this composition is 1.81 eV/f.u. Its formation energy is 745 meV/atom.

Unit cell a=5.8677 b=5.8677 c=5.8677 alpha=90.00 beta=90.00 gamma=90.00
Last column: nearest neighbours and their distance in Å.
Space group Pm-3m (No. 221)
Inequivalent atoms, fractional coordinates:
Hg (0.0000, 0.0000, 0.5000) (multiplicity 3)  2 Bi 2.93
Bi (0.0000, 0.0000, 0.0000) (multiplicity 1)  6 Hg 2.93
P (0.5000, 0.5000, 0.5000) (multiplicity 1)  12 Hg 4.15

A plane-wave DFT calculation with PBE-GGA was carried out for a geometry-optimized HgBiP structure.

Properties
The value obtained for the total DFT energy (no corrections) is -2.90 eV/atom. The energy relative to the lowest polymorph listed for this composition is 0.48 eV/f.u. Its formation energy is 301 meV/atom.

Unit cell a=3.5823 b=3.5823 c=12.6601 alpha=90.00 beta=90.00 gamma=90.00
Last column: nearest neighbours and their distance in Å.
Space group I4mm (No. 107)
Inequivalent atoms, fractional coordinates:
Hg (0.0000, 0.0000, 0.0000) (multiplicity 2)  4 P 3.42, 4 Hg 3.58, 5 Bi 3.58-3.74
Bi (0.0000, 0.0000, 0.2832) (multiplicity 2)  4 P 2.84
P (0.0000, 0.0000, 0.6817) (multiplicity 2)  4 Bi 2.84

A plane-wave DFT calculation with PBE-GGA was carried out for a geometry-optimized Hg2Bi2P structure.

Properties
The value obtained for the total DFT energy (no corrections) is -2.46 eV/atom. Its formation energy is 296 meV/atom.

Unit cell a=7.5465 b=7.5465 c=5.0246 alpha=90.00 beta=90.00 gamma=90.00
Last column: nearest neighbours and their distance in Å.
Space group P4/mbm (No. 127)
Inequivalent atoms, fractional coordinates:
Hg (0.1629, 0.3371, 0.0000) (multiplicity 4)  6 Bi 3.18-3.48, 1 Hg 3.48
Bi (0.1551, 0.6551, 0.5000) (multiplicity 4)  2 P 2.85, 2 Hg 3.18
P (0.0000, 0.0000, 0.5000) (multiplicity 2)  4 Bi 2.85

A plane-wave DFT calculation with PBE-GGA was carried out for a geometry-optimized HgBiPS2 structure.

Properties
The value obtained for the total DFT energy (no corrections) is -2.78 eV/atom. The energy relative to the lowest polymorph listed for this composition is 0.04 eV/f.u.

Unit cell a=5.2190 b=5.2190 c=5.5205 alpha=90.00 beta=90.00 gamma=90.00
Last column: nearest neighbours and their distance in Å.
Space group P4/mmm (No. 123)
Inequivalent atoms, fractional coordinates:
Hg (0.0000, 0.0000, 0.0000) (multiplicity 1)  4 P 3.69, 8 S 3.80
Bi (0.5000, 0.5000, 0.5000) (multiplicity 1)  4 S 2.61, 2 P 2.76
P (0.5000, 0.5000, 0.0000) (multiplicity 1)  2 Bi 2.76
S (0.0000, 0.5000, 0.5000) (multiplicity 2)  2 Bi 2.61